(1)
La8TmTl2 | PBE | optimized geometry

a b c (Å): 9.0044 9.0044 6.0237
angles (deg): 102.27 102.27 119.13
Closest atoms and distances in Å follow each position.
Sites, in units of the cell vectors:
La  0.0877  0.3031  0.5944  2 La 3.26-3.34, 2 Tl 3.35-3.47
La  0.2230  0.7770  0.0000  2 Tl 3.27, 1 Tm 3.46
La  0.3031  0.0877  0.5944  2 La 3.26-3.34, 2 Tl 3.35-3.47
La  0.3989  0.3989  0.1987  2 La 3.31-3.58, 1 Tm 3.32, 2 Tl 3.45
La  0.6011  0.6011  0.8013  2 La 3.31-3.58, 1 Tm 3.32, 2 Tl 3.45
La  0.6969  0.9123  0.4056  2 La 3.26-3.34, 2 Tl 3.35-3.47
La  0.7770  0.2230  0.0000  2 Tl 3.27, 1 Tm 3.46
La  0.9123  0.6969  0.4056  2 La 3.26-3.34, 2 Tl 3.35-3.47
Tm  0.0000  0.0000  0.0000  8 La 3.32-3.67
Tl  0.3053  0.6947  0.5000  8 La 3.27-3.47
Tl  0.6947  0.3053  0.5000  8 La 3.27-3.47

Calculated values
VASP energy   -4.485 eV/atom
Symmetry   No. 12
Formation energy   -0.06 eV/atom


(2)
Nd4TlPt | PBE | optimized geometry

a b c (Å): 10.0751 10.0751 10.0751
angles (deg): 60.00 60.00 60.00
Closest atoms and distances in Å follow each position.
Sites, in units of the cell vectors:
Nd  0.1887  0.1887  0.8113  2 Tl 3.35, 2 Pt 3.62, 2 Nd 3.62
Nd  0.1887  0.8113  0.1887  2 Tl 3.35, 2 Pt 3.62, 2 Nd 3.62
Nd  0.1887  0.8113  0.8113  2 Tl 3.35, 2 Pt 3.62, 2 Nd 3.62
Nd  0.3992  0.3992  0.3992  3 Pt 2.96
Nd  0.3992  0.3992  0.8025  3 Pt 2.96
Nd  0.3992  0.8025  0.3992  3 Pt 2.96
Nd  0.5589  0.5589  0.9411  2 Pt 2.97
Nd  0.5589  0.9411  0.5589  2 Pt 2.97
Nd  0.5589  0.9411  0.9411  2 Pt 2.97
Nd  0.8025  0.3992  0.3992  3 Pt 2.96
Nd  0.8113  0.1887  0.1887  2 Tl 3.35, 2 Pt 3.62, 2 Nd 3.62
Nd  0.8113  0.1887  0.8113  2 Tl 3.35, 2 Pt 3.62, 2 Nd 3.62
Nd  0.8113  0.8113  0.1887  2 Tl 3.35, 2 Pt 3.62, 2 Nd 3.62
Nd  0.9411  0.5589  0.5589  2 Pt 2.97
Nd  0.9411  0.5589  0.9411  2 Pt 2.97
Nd  0.9411  0.9411  0.5589  2 Pt 2.97
Tl  0.1652  0.1652  0.1652  9 Nd 3.35-3.62, 3 Tl 3.42
Tl  0.1652  0.1652  0.5044  9 Nd 3.35-3.62, 3 Tl 3.42
Tl  0.1652  0.5044  0.1652  9 Nd 3.35-3.62, 3 Tl 3.42
Tl  0.5044  0.1652  0.1652  9 Nd 3.35-3.62, 3 Tl 3.42
Pt  0.1803  0.6066  0.6066  6 Nd 2.96-2.97
Pt  0.6066  0.1803  0.6066  6 Nd 2.96-2.97
Pt  0.6066  0.6066  0.1803  6 Nd 2.96-2.97
Pt  0.6066  0.6066  0.6066  6 Nd 2.96-2.97

Calculated values
VASP energy   -5.133 eV/atom
Symmetry   No. 216
Formation energy   -0.55 eV/atom


(3)
SrBeRe2 | PBE | optimized geometry

a b c (Å): 3.1235 3.1235 7.2987
angles (deg): 90.00 90.00 90.00
Closest atoms and distances in Å follow each position.
Sites, in units of the cell vectors:
Sr  0.0000  0.0000  0.0000  4 Sr 3.12, 8 Re 3.34
Be  0.0000  0.0000  0.5000  8 Re 2.49
Re  0.5000  0.5000  0.3425  1 Re 2.30, 4 Be 2.49
Re  0.5000  0.5000  0.6575  1 Re 2.30, 4 Be 2.49

Calculated values
VASP energy   -6.937 eV/atom
Symmetry   No. 123
Formation energy   0.64 eV/atom


(4)
K2RbPaTe4 | PBE | optimized geometry

a b c (Å): 8.5135 4.7201 8.7482
angles (deg): 90.00 108.87 90.00
Closest atoms and distances in Å follow each position.
Sites, in units of the cell vectors:
K  0.0000  0.0000  0.0000  6 Te 3.44-3.50
K  0.0000  0.5000  0.5000  6 Te 3.80-4.09
Rb  0.5000  0.0000  0.5000  6 Te 3.55-3.59
Pa  0.5000  0.5000  0.0000  6 Te 2.93-3.12
Te  0.2851  0.5000  0.2028  1 Pa 2.93
Te  0.2944  0.0000  0.7992  2 Pa 3.12
Te  0.7056  0.0000  0.2008  2 Pa 3.12
Te  0.7149  0.5000  0.7972  1 Pa 2.93

Calculated values
VASP energy   -4.158 eV/atom
Raw formation energy   -776 kJ/mol of formula units
Symmetry   No. 10